Compound: K2GaAs
Source: Alexandria via LeMat-Bulk
Functional: GGA-PBE
Structure: optimized geometry

Cell lengths 5.5745, 5.5745, 5.5745 Å; angles 60.00, 60.00, 60.00 degrees
Fractional positions:
As 0.5000 0.5000 0.5000
K 0.2500 0.2500 0.2500
K 0.7500 0.7500 0.7500
Ga 0.0000 0.0000 0.0000

Computed properties:
M_tot: 0.0 μB/cell
Formation energy from the elements: -0.0308 eV per atom
E above lowest polymorph: 0.00 eV per formula unit
SG: Fm-3m
Uncorrected energy: -9.99 eV/cell

=====

Compound: KGa2As2
Source: Alexandria via LeMat-Bulk
Functional: GGA-PBE
Structure: optimized geometry

Cell lengths 4.3959, 4.3959, 7.6245 Å; angles 73.25, 73.25, 90.00 degrees
Fractional positions:
As 0.3528 0.3528 0.2943
As 0.6472 0.6472 0.7057
Ga 0.2500 0.7500 0.5000
Ga 0.7500 0.2500 0.5000
K 0.0000 0.0000 0.0000

Computed properties:
M_tot: 0.0 μB/cell
Formation energy from the elements: -0.3573 eV per atom
E above lowest polymorph: 0.00 eV per formula unit
SG: I4/mmm
Uncorrected energy: -18.24 eV/cell

=====

Compound: K2GaAs
Source: Alexandria via LeMat-Bulk
Functional: GGA-PBE
Structure: optimized geometry

Cell lengths 4.8204, 4.8204, 11.7403 Å; angles 78.15, 78.15, 90.00 degrees
Fractional positions:
K 0.6322 0.1250 0.2500
K 0.3750 0.3678 0.7500
K 0.1178 0.6250 0.2500
K 0.8750 0.8822 0.7500
Ga 0.2500 0.7500 0.5000
Ga 0.5000 0.5000 0.0000
As 0.7500 0.2500 0.5000
As 0.0000 0.0000 0.0000

Computed properties:
M_tot: 0.0 μB/cell
Formation energy from the elements: 0.2344 eV per atom
E above lowest polymorph: 1.06 eV per formula unit
SG: I-42d
Uncorrected energy: -17.87 eV/cell

=====

Compound: KGaAs
Source: Alexandria via LeMat-Bulk
Functional: GGA-PBE
Structure: optimized geometry

Cell lengths 7.6194, 7.6194, 8.7832 Å; angles 111.50, 111.50, 98.92 degrees
Fractional positions:
As 0.5347 0.0347 0.5000
As 0.2847 0.2847 0.0000
As 0.7153 0.7153 0.0000
As 0.9653 0.4653 0.5000
K 0.8615 0.8615 0.7230
K 0.3885 0.8885 0.7770
K 0.1115 0.6115 0.2230
K 0.1385 0.1385 0.2770
Ga 0.6250 0.3750 0.2500
Ga 0.6250 0.8750 0.2500
Ga 0.1250 0.3750 0.7500
Ga 0.6250 0.3750 0.7500

Computed properties:
M_tot: 0.0 μB/cell
Formation energy from the elements: -0.0744 eV per atom
E above lowest polymorph: 0.66 eV per formula unit
SG: Fddd
Uncorrected energy: -35.99 eV/cell

=====

Compound: K2LiGaAs2
Source: Alexandria via LeMat-Bulk
Functional: GGA-PBE
Structure: optimized geometry

Cell lengths 9.9927, 9.9927, 6.2799 Å; angles 90.00, 90.00, 101.97 degrees
Fractional positions:
Ga 0.1316 0.1316 0.0000
Ga 0.6316 0.6316 0.5000
Ga 0.8684 0.8684 0.0000
Ga 0.3684 0.3684 0.5000
K 0.1708 0.8292 0.7195
K 0.9224 0.5776 0.2500
K 0.0776 0.4224 0.7500
K 0.6708 0.3292 0.7805
K 0.3292 0.6708 0.2195
K 0.5776 0.9224 0.7500
K 0.8292 0.1708 0.2805
K 0.4224 0.0776 0.2500
Li 0.1201 0.1201 0.5000
Li 0.6201 0.6201 0.0000
Li 0.3799 0.3799 0.0000
Li 0.8799 0.8799 0.5000
As 0.3434 0.1566 0.7500
As 0.4072 0.5928 0.7130
As 0.5928 0.4072 0.2870
As 0.1566 0.3434 0.2500
As 0.0928 0.9072 0.2130
As 0.9072 0.0928 0.7870
As 0.8434 0.6566 0.7500
As 0.6566 0.8434 0.2500

Computed properties:
M_tot: 0.0 μB/cell
Formation energy from the elements: -0.5898 eV per atom
SG: Cmce
Uncorrected energy: -79.89 eV/cell

=====

Compound: KLiGaAs2
Source: Alexandria via LeMat-Bulk
Functional: GGA-PBE
Structure: optimized geometry

Cell lengths 3.8852, 7.0592, 9.7083 Å; angles 80.23, 78.46, 74.03 degrees
Fractional positions:
As 0.4580 0.7561 0.3278
As 0.5420 0.2439 0.6722
As 0.1525 0.7665 0.9285
As 0.8475 0.2335 0.0715
K 0.8227 0.7241 0.6305
K 0.1773 0.2759 0.3695
Ga 0.9726 0.8758 0.1791
Ga 0.0274 0.1242 0.8209
Li 0.6489 0.6110 0.0912
Li 0.3511 0.3890 0.9088

Computed properties:
M_tot: 0.0 μB/cell
Formation energy from the elements: -0.4304 eV per atom
SG: C2/m
Uncorrected energy: -34.98 eV/cell

=====

Compound: KGaAsN2
Source: Alexandria via LeMat-Bulk
Functional: GGA-PBE
Structure: optimized geometry

Cell lengths 4.8527, 6.3402, 4.8527 Å; angles 90.00, 90.00, 90.00 degrees
Fractional positions:
K 0.0000 0.0000 0.0000
N 0.5000 0.0000 0.0000
N 0.0000 0.0000 0.5000
As 0.0000 0.5000 0.0000
Ga 0.5000 0.5000 0.5000

Computed properties:
M_tot: 5.4 μB/cell
Uncorrected formation energy: 2.250 eV per atom
SG: P4/mmm
Uncorrected energy: -14.17 eV/cell

=====

Compound: KNa2Ga2As2
Source: Alexandria via LeMat-Bulk
Functional: GGA-PBE
Structure: optimized geometry

Cell lengths 4.0138, 6.0068, 13.6662 Å; angles 133.72, 90.00, 109.52 degrees
Fractional positions:
Ga 0.6545 0.3090 0.6175
Ga 0.3455 0.6910 0.3825
Na 0.0454 0.0909 0.3683
Na 0.9546 0.9091 0.6317
As 0.3423 0.6846 0.7232
As 0.6577 0.3154 0.2768
K 0.0000 0.0000 0.0000

Computed properties:
M_tot: 0.0 μB/cell
Formation energy from the elements: -0.3677 eV per atom
SG: C2/m
Uncorrected energy: -21.66 eV/cell

=====

Compound: KGaAsO4
Source: Alexandria via LeMat-Bulk
Functional: GGA-PBE
Structure: optimized geometry

Cell lengths 6.3575, 6.0665, 7.9067 Å; angles 90.00, 129.76, 90.00 degrees
Fractional positions:
As 0.7976 0.7500 0.5876
As 0.2024 0.2500 0.4124
O 0.9833 0.4959 0.7471
O 0.5450 0.7500 0.6197
O 0.5097 0.7500 0.2801
O 0.0167 0.9959 0.2529
O 0.0167 0.5041 0.2529
O 0.4550 0.2500 0.3803
O 0.9833 0.0041 0.7471
O 0.4903 0.2500 0.7199
Ga 0.2354 0.7500 0.3126
Ga 0.7646 0.2500 0.6874
K 0.4790 0.2500 0.0688
K 0.5210 0.7500 0.9312

Computed properties:
M_tot: 0.0 μB/cell
Uncorrected formation energy: -1.422 eV per atom
SG: P2_1/m
Uncorrected energy: -77.12 eV/cell

=====

Compound: KGaAs2O7
Source: Alexandria via LeMat-Bulk
Functional: GGA-PBE
Structure: optimized geometry

Cell lengths 6.3940, 6.4889, 8.3843 Å; angles 96.62, 103.79, 103.49 degrees
Fractional positions:
O 0.0894 0.1922 0.7816
O 0.7690 0.8760 0.8492
O 0.6666 0.2117 0.6751
O 0.7902 0.8486 0.5182
O 0.3113 0.8739 0.7222
O 0.5808 0.5027 0.2871
O 0.2310 0.1240 0.1508
O 0.4477 0.7370 0.0286
O 0.3334 0.7883 0.3249
O 0.5523 0.2630 0.9714
O 0.9106 0.8078 0.2184
O 0.6887 0.1261 0.2778
O 0.2098 0.1514 0.4818
O 0.4192 0.4973 0.7129
Ga 0.3740 0.1886 0.7257
Ga 0.6260 0.8114 0.2743
As 0.5171 0.2571 0.1656
As 0.4829 0.7429 0.8344
As 0.8243 0.0317 0.6897
As 0.1757 0.9683 0.3103
K 0.0000 0.5000 0.0000
K 0.0000 0.5000 0.5000

Computed properties:
M_tot: 0.0 μB/cell
Uncorrected formation energy: -1.498 eV per atom
SG: P-1
Uncorrected energy: -129.23 eV/cell

=====

Compound: K2GaAs2O6
Source: Alexandria via LeMat-Bulk
Functional: GGA-PBE
Structure: optimized geometry

Cell lengths 5.7062, 5.7062, 7.4367 Å; angles 67.44, 67.44, 60.00 degrees
Fractional positions:
O 0.2260 0.7262 0.8217
O 0.2260 0.2260 0.8217
O 0.7740 0.2738 0.1783
O 0.2738 0.7740 0.1783
O 0.7262 0.2260 0.8217
O 0.7740 0.7740 0.1783
As 0.4238 0.4238 0.7285
As 0.5762 0.5762 0.2715
Ga 0.0000 0.0000 0.0000
K 0.2581 0.2581 0.2257
K 0.7419 0.7419 0.7743

Computed properties:
M_tot: 0.0 μB/cell
Uncorrected formation energy: -1.407 eV per atom
SG: R-3m
Uncorrected energy: -59.74 eV/cell

=====

Compound: KGaAs2O6
Source: Alexandria via LeMat-Bulk
Functional: GGA-PBE
Structure: optimized geometry

Cell lengths 7.1843, 7.5332, 7.5332 Å; angles 79.59, 63.36, 63.36 degrees
Fractional positions:
O 0.8004 0.0209 0.2049
O 0.5325 0.1696 0.5982
O 0.6996 0.7951 0.9791
O 0.8663 0.2992 0.3544
O 0.3004 0.2049 0.0209
O 0.9675 0.4018 0.8304
O 0.6337 0.6456 0.7008
O 0.1996 0.9791 0.7951
O 0.0325 0.5982 0.1696
O 0.4675 0.8304 0.4018
O 0.3663 0.3544 0.2992
O 0.1337 0.7008 0.6456
As 0.1217 0.3480 0.2448
As 0.6217 0.2448 0.3480
As 0.8783 0.6520 0.7552
As 0.3783 0.7552 0.6520
Ga 0.2500 0.2006 0.7994
Ga 0.7500 0.7994 0.2006
K 0.2500 0.8076 0.1924
K 0.7500 0.1924 0.8076

Computed properties:
M_tot: 0.0 μB/cell
Uncorrected formation energy: -1.417 eV per atom
SG: C2/c
Uncorrected energy: -114.68 eV/cell

=====

Compound: K2Rb4GaAs2
Source: Alexandria via LeMat-Bulk
Functional: GGA-PBE
Structure: optimized geometry

Cell lengths 5.3122, 11.0885, 11.0885 Å; angles 80.30, 69.23, 69.23 degrees
Fractional positions:
Rb 0.1434 0.0155 0.6972
Rb 0.1434 0.6972 0.0155
Rb 0.8566 0.3028 0.9845
Rb 0.8566 0.9845 0.3028
K 0.0532 0.6275 0.6275
K 0.9468 0.3725 0.3725
As 0.6520 0.8492 0.8492
As 0.3480 0.1508 0.1508
Ga 0.5000 0.0000 0.0000

Computed properties:
M_tot: 0.0 μB/cell
Formation energy from the elements: -0.2116 eV per atom
SG: C2/m
Uncorrected energy: -20.30 eV/cell

=====

Compound: K2RbGaAs2
Source: Alexandria via LeMat-Bulk
Functional: GGA-PBE
Structure: optimized geometry

Cell lengths 8.4791, 6.9542, 8.8587 Å; angles 113.11, 118.59, 90.00 degrees
Fractional positions:
Ga 0.5000 0.7500 0.0000
Ga 0.5000 0.2500 0.0000
As 0.5844 0.4108 0.8216
As 0.4156 0.5892 0.1784
As 0.2372 0.9108 0.8216
As 0.7628 0.0892 0.1784
Rb 0.0000 0.2500 0.0000
Rb 0.0000 0.7500 0.0000
K 0.1396 0.3179 0.6358
K 0.4962 0.8179 0.6358
K 0.8604 0.6821 0.3642
K 0.5038 0.1821 0.3642

Computed properties:
M_tot: 0.0 μB/cell
Formation energy from the elements: -0.4416 eV per atom
SG: Ibam
Uncorrected energy: -36.28 eV/cell

=====

Compound: KGa2ReAs
Source: Alexandria via LeMat-Bulk
Functional: GGA-PBE
Structure: optimized geometry

Cell lengths 4.9863, 4.8406, 4.9863 Å; angles 90.00, 90.00, 90.00 degrees
Fractional positions:
Ga 0.5000 0.0000 0.0000
Ga 0.0000 0.0000 0.5000
As 0.0000 0.5000 0.0000
K 0.5000 0.5000 0.5000
Re 0.0000 0.0000 0.0000

Computed properties:
M_tot: 0.0 μB/cell
Formation energy from the elements: -0.0665 eV per atom
SG: P4/mmm
Uncorrected energy: -24.58 eV/cell

=====

Compound: KGaAsS4
Source: Alexandria via LeMat-Bulk
Functional: GGA-PBE
Structure: optimized geometry

Cell lengths 6.7980, 6.7980, 6.4458 Å; angles 121.82, 121.82, 90.00 degrees
Fractional positions:
As 0.2500 0.7500 0.5000
Ga 0.5000 0.5000 0.0000
S 0.4172 0.8164 0.2902
S 0.8730 0.4738 0.2902
S 0.1836 0.1270 0.7098
S 0.5262 0.5828 0.7098
K 0.0000 0.0000 0.0000

Computed properties:
M_tot: 0.7 μB/cell
Uncorrected formation energy: -0.492 eV per atom
SG: I-4
Uncorrected energy: -28.73 eV/cell

=====

Compound: KGa2AsS6
Source: Alexandria via LeMat-Bulk
Functional: GGA-PBE
Structure: optimized geometry

Cell lengths 7.1706, 9.6050, 9.6050 Å; angles 89.66, 72.16, 72.16 degrees
Fractional positions:
K 0.2500 0.9342 0.0658
K 0.7500 0.0658 0.9342
S 0.6788 0.7259 0.0425
S 0.8212 0.9575 0.2741
S 0.0300 0.7923 0.6659
S 0.4700 0.3341 0.2077
S 0.3212 0.2741 0.9575
S 0.1788 0.0425 0.7259
S 0.4523 0.7333 0.3933
S 0.0477 0.6067 0.2667
S 0.5477 0.2667 0.6067
S 0.9523 0.3933 0.7333
S 0.5300 0.6659 0.7923
S 0.9700 0.2077 0.3341
As 0.2500 0.2494 0.7506
As 0.7500 0.7506 0.2494
Ga 0.8690 0.6418 0.7872
Ga 0.6310 0.2128 0.3582
Ga 0.3690 0.7872 0.6418
Ga 0.1310 0.3582 0.2128

Computed properties:
M_tot: 0.0 μB/cell
Uncorrected formation energy: -0.443 eV per atom
SG: C2/c
Uncorrected energy: -82.00 eV/cell

=====

Compound: K2ScGaAs
Source: Alexandria via LeMat-Bulk
Functional: GGA-PBE
Structure: optimized geometry

Cell lengths 6.4564, 4.9347, 6.4564 Å; angles 90.00, 90.00, 90.00 degrees
Fractional positions:
Sc 0.5000 0.5000 0.5000
K 0.0000 0.0000 0.5000
K 0.5000 0.0000 0.0000
Ga 0.0000 0.0000 0.0000
As 0.0000 0.5000 0.0000

Computed properties:
M_tot: 1.4 μB/cell
Formation energy from the elements: 0.5392 eV per atom
SG: P4/mmm
Uncorrected energy: -13.51 eV/cell

=====

Compound: KSc2GaAs
Source: Alexandria via LeMat-Bulk
Functional: GGA-PBE
Structure: optimized geometry

Cell lengths 5.1705, 5.1646, 5.1705 Å; angles 90.00, 90.00, 90.00 degrees
Fractional positions:
K 0.0000 0.0000 0.0000
Sc 0.5000 0.0000 0.0000
Sc 0.0000 0.0000 0.5000
Ga 0.0000 0.5000 0.0000
As 0.5000 0.5000 0.5000

Computed properties:
M_tot: 1.0 μB/cell
Formation energy from the elements: 1.4126 eV per atom
SG: P4/mmm
Uncorrected energy: -14.37 eV/cell

=====

Compound: KGaAs2Se
Source: Alexandria via LeMat-Bulk
Functional: GGA-PBE
Structure: optimized geometry

Cell lengths 5.6133, 5.6133, 5.7057 Å; angles 90.00, 90.00, 90.00 degrees
Fractional positions:
Ga 0.5000 0.5000 0.5000
Se 0.0000 0.0000 0.5000
As 0.5000 0.0000 0.0000
As 0.0000 0.5000 0.0000
K 0.0000 0.0000 0.0000

Computed properties:
M_tot: 1.5 μB/cell
Uncorrected formation energy: 1.189 eV per atom
E above lowest polymorph: 5.43 eV per formula unit
SG: P4/mmm
Uncorrected energy: -10.96 eV/cell

=====

Compound: KGaAs2Se
Source: Alexandria via LeMat-Bulk
Functional: GGA-PBE
Structure: optimized geometry

Cell lengths 5.0177, 5.0177, 5.3848 Å; angles 90.00, 90.00, 90.00 degrees
Fractional positions:
As 0.5000 0.0000 0.0000
As 0.0000 0.5000 0.0000
K 0.5000 0.5000 0.5000
Ga 0.0000 0.0000 0.0000
Se 0.0000 0.0000 0.5000

Computed properties:
M_tot: 0.9 μB/cell
Uncorrected formation energy: 0.103 eV per atom
E above lowest polymorph: 0.00 eV per formula unit
SG: P4/mmm
Uncorrected energy: -16.39 eV/cell

=====

Compound: KGaAsSe2
Source: Alexandria via LeMat-Bulk
Functional: GGA-PBE
Structure: optimized geometry

Cell lengths 5.2706, 5.2706, 4.9136 Å; angles 90.00, 90.00, 90.00 degrees
Fractional positions:
Se 0.0000 0.5000 0.0000
Se 0.5000 0.0000 0.0000
As 0.0000 0.0000 0.5000
Ga 0.0000 0.0000 0.0000
K 0.5000 0.5000 0.5000

Computed properties:
M_tot: 0.5 μB/cell
Uncorrected formation energy: -0.100 eV per atom
E above lowest polymorph: 0.00 eV per formula unit
SG: P4/mmm
Uncorrected energy: -16.24 eV/cell